1.
Tb2Ce3ErBi6 | PBE | optimized geometry

Summary:
For the formation energy, the calculation gives -0.732 eV per atom. As for the magnetization: 2.85 μB per cell. The uncorrected energy is -5.308 eV/atom. The density of states at the Fermi level is 21.26 states/eV per cell. As for the space group: P-31m, No. 162.

POSCAR file:
```
Tb2Ce3ErBi6
1.0
7.7416 -0.1297 -1.0683
-3.9812 6.6407 -1.0683
-2.6982 -4.6718 9.6113
Bi Tb Er Ce
6 2 1 3
Direct
0.0889 0.0889 0.7573
0.9111 0.9111 0.2427
0.5744 0.2426 0.2427
0.7574 0.4256 0.7573
0.2426 0.5744 0.2427
0.4256 0.7574 0.7573
0.3333 0.6667 0.0000
0.6667 0.3333 0.0000
0.0000 0.0000 0.0000
0.5000 0.5000 0.5000
0.8334 0.1666 0.5000
0.1666 0.8334 0.5000
```

=====

2.
Tb2CeErBi4 | PBE | optimized geometry

Summary:
For the formation energy, the calculation gives -0.839 eV per atom. As for the magnetization: 0.79 μB per cell. The uncorrected energy is -5.249 eV/atom. The density of states at the Fermi level is 6.96 states/eV per cell. As for the space group: P2/m, No. 10.

POSCAR file:
```
Tb2CeErBi4
1.0
-3.3755 -2.1736 2.0621
5.1848 -4.3305 3.9227
1.8093 3.5535 6.7076
Bi Ce Tb Er
4 1 2 1
Direct
0.5000 0.7494 0.2538
0.0000 0.7525 0.7453
0.5000 0.2506 0.7462
0.0000 0.2475 0.2547
0.5000 0.5000 0.0000
0.5000 0.0000 0.5000
0.0000 0.0000 0.0000
0.0000 0.5000 0.5000
```

=====

3.
Tb2CeErBi5 | PBE | optimized geometry

Summary:
For the formation energy, the calculation gives 0.079 eV per atom. As for the magnetization: 0.00 μB per cell. The uncorrected energy is -4.272 eV/atom. The density of states at the Fermi level is 8.43 states/eV per cell. As for the space group: P4/mmm, No. 123.

POSCAR file:
```
Tb2CeErBi5
1.0
-1.7810 2.4732 4.6456
-1.5654 -4.9313 2.0252
10.6842 -1.4028 4.8428
Bi Ce Tb Er
5 1 2 1
Direct
0.0000 0.0000 0.7558
0.5000 0.5000 0.0000
0.5000 0.0000 0.5000
0.0000 0.0000 0.2442
0.0000 0.5000 0.5000
0.0000 0.0000 0.5000
0.5000 0.5000 0.2717
0.5000 0.5000 0.7283
0.0000 0.0000 0.0000
```

=====

4.
TbCe2ErBi4 | PBE | optimized geometry

Summary:
For the formation energy, the calculation gives -0.820 eV per atom. As for the magnetization: 1.71 μB per cell. The uncorrected energy is -5.393 eV/atom. The density of states at the Fermi level is 13.85 states/eV per cell. As for the space group: P2/m, No. 10.

POSCAR file:
```
TbCe2ErBi4
1.0
-4.4795 0.7324 0.0087
-1.2440 -7.5893 -1.5683
-0.6412 -4.0020 6.7382
Bi Er Tb Ce
4 1 1 2
Direct
0.5000 0.2580 0.7458
0.0000 0.2568 0.2492
0.5000 0.7420 0.2541
0.0000 0.7432 0.7508
0.0000 0.5000 0.5000
0.5000 0.5000 0.0000
0.0000 0.0000 0.0000
0.5000 0.0000 0.5000
```

=====

5.
TbCe2Er3Bi6 | PBE | optimized geometry

Summary:
For the formation energy, the calculation gives -0.817 eV per atom. As for the magnetization: 1.62 μB per cell. The uncorrected energy is -5.273 eV/atom. The density of states at the Fermi level is 13.42 states/eV per cell. As for the space group: C2/m, No. 12.

POSCAR file:
```
TbCe2Er3Bi6
1.0
4.5152 0.0000 0.0000
0.0000 9.0003 0.3320
-2.2576 -2.5803 9.4668
Bi Ce Er Tb
6 2 3 1
Direct
0.6670 0.0772 0.3341
0.9976 0.2510 0.9953
0.0024 0.7490 0.0047
0.6649 0.5880 0.3297
0.3330 0.9228 0.6659
0.3351 0.4120 0.6703
0.1658 0.3317 0.3315
0.8342 0.6683 0.6685
0.5000 0.5000 0.0000
0.8330 0.1662 0.6660
0.1670 0.8338 0.3340
0.5000 0.0000 0.0000
```

=====

6.
TbCe2ErBi5 | PBE | optimized geometry

Summary:
For the formation energy, the calculation gives -0.076 eV per atom. As for the magnetization: 2.04 μB per cell. The uncorrected energy is -4.572 eV/atom. The density of states at the Fermi level is 17.70 states/eV per cell. As for the space group: P4/mmm, No. 123.

POSCAR file:
```
TbCe2ErBi5
1.0
5.4792 0.0000 0.0000
0.0000 5.4792 0.0000
0.0000 0.0000 11.8094
Bi Ce Tb Er
5 2 1 1
Direct
0.5000 0.5000 0.0000
0.0000 0.5000 0.5000
0.5000 0.0000 0.5000
0.0000 0.0000 0.2455
0.0000 0.0000 0.7545
0.5000 0.5000 0.7156
0.5000 0.5000 0.2844
0.0000 0.0000 0.5000
0.0000 0.0000 0.0000
```

=====

7.
CeErBiTe | PBE | optimized geometry

Summary:
As for the magnetization: 1.22 μB per cell. The uncorrected energy is -5.348 eV/atom. The calculation puts the uncorrected formation energy at -3.9 eV per formula unit. The density of states at the Fermi level is 8.79 states/eV per cell. As for the space group: R3m, No. 160.

POSCAR file:
```
CeErBiTe
1.0
-3.8983 -0.3018 1.9083
3.6085 0.0953 2.4282
0.9590 7.9840 -1.7387
Er Bi Ce Te
1 1 1 1
Direct
0.4756 0.1357 0.6265
0.2978 0.5468 0.8599
0.1301 0.9631 0.1084
0.9744 0.3852 0.3748
```

=====

8.
CeErTh2Bi4 | PBE | optimized geometry

Summary:
For the formation energy, the calculation gives -0.685 eV per atom. As for the magnetization: 1.11 μB per cell. The uncorrected energy is -5.792 eV/atom. The density of states at the Fermi level is 10.59 states/eV per cell. As for the space group: P2/m, No. 10.

POSCAR file:
```
CeErTh2Bi4
1.0
-1.1654 4.4084 -0.2321
-4.9828 -1.6277 -5.8973
-7.1292 -1.7285 2.9656
Er Bi Th Ce
1 4 2 1
Direct
0.0000 0.5000 0.5000
0.0000 0.2553 0.2527
0.5000 0.7417 0.2570
0.0000 0.7447 0.7473
0.5000 0.2583 0.7430
0.0000 0.0000 0.0000
0.5000 0.0000 0.5000
0.5000 0.5000 0.0000
```